Model w:
# ScSb2TeS | Alexandria | PBE | relaxed
data_ScSb2TeS
_chemical_formula_sum 'Sc1 Sb2 Te1 S1'
_space_group_name_H-M_alt 'P 4/m m m'
_space_group_IT_number 123
_space_group_name_Hall '-P 4 2'
_cell_length_a 5.189
_cell_length_b 5.189
_cell_length_c 5.154
_cell_angle_alpha 90.00
_cell_angle_beta 90.00
_cell_angle_gamma 90.00
loop_
_atom_site_label
_atom_site_type_symbol
_atom_site_fract_x
_atom_site_fract_y
_atom_site_fract_z
Sc1 Sc 0.000 0.000 0.000
Sb1 Sb 0.000 0.500 0.500
Te1 Te 0.500 0.500 0.000
S1 S 0.500 0.500 0.500
# * mass density: 5363 kg/m³
# * total magnetic moment: 0.0 Bohr magnetons per cell
# * N(E_F): 0.625 states/eV per atom

***

Model x:
# ScSb2TeS | Alexandria | PBE | relaxed
data_ScSb2TeS
_chemical_formula_sum 'Sc1 Sb2 Te1 S1'
_space_group_name_H-M_alt 'P 4/m m m'
_space_group_IT_number 123
_space_group_name_Hall '-P 4 2'
_cell_length_a 5.498
_cell_length_b 5.498
_cell_length_c 5.304
_cell_angle_alpha 90.00
_cell_angle_beta 90.00
_cell_angle_gamma 90.00
loop_
_atom_site_label
_atom_site_type_symbol
_atom_site_fract_x
_atom_site_fract_y
_atom_site_fract_z
Sc1 Sc 0.000 0.000 0.000
Sb1 Sb 0.000 0.500 0.000
Te1 Te 0.000 0.000 0.500
S1 S 0.500 0.500 0.500
# * mass density: 4641 kg/m³
# * total magnetic moment: 0.8 Bohr magnetons per cell
# * N(E_F): 1.029 states/eV per atom

***

Which structure is most stable? model w, by 190 meV/atom over the runner-up.

***

Model w:
# ScZn2SbS | Alexandria | PBE | relaxed
data_ScZn2SbS
_chemical_formula_sum 'Sc1 Zn2 Sb1 S1'
_space_group_name_H-M_alt 'P 4/m m m'
_space_group_IT_number 123
_space_group_name_Hall '-P 4 2'
_cell_length_a 5.239
_cell_length_b 5.239
_cell_length_c 5.490
_cell_angle_alpha 90.00
_cell_angle_beta 90.00
_cell_angle_gamma 90.00
loop_
_atom_site_label
_atom_site_type_symbol
_atom_site_fract_x
_atom_site_fract_y
_atom_site_fract_z
Sc1 Sc 0.000 0.000 0.000
Zn1 Zn 0.000 0.500 0.000
Sb1 Sb 0.000 0.000 0.500
S1 S 0.500 0.500 0.500
# * mass density: 3632 kg/m³
# * total magnetic moment: 0.0 Bohr magnetons per cell
# * N(E_F): 0.483 states/eV per atom

***

Model x:
# ScZn2SbS | Alexandria | PBE | relaxed
data_ScZn2SbS
_chemical_formula_sum 'Sc1 Zn2 Sb1 S1'
_space_group_name_H-M_alt 'P 4/m m m'
_space_group_IT_number 123
_space_group_name_Hall '-P 4 2'
_cell_length_a 4.640
_cell_length_b 4.640
_cell_length_c 5.435
_cell_angle_alpha 90.00
_cell_angle_beta 90.00
_cell_angle_gamma 90.00
loop_
_atom_site_label
_atom_site_type_symbol
_atom_site_fract_x
_atom_site_fract_y
_atom_site_fract_z
Sc1 Sc 0.000 0.000 0.000
Zn1 Zn 0.000 0.500 0.500
Sb1 Sb 0.500 0.500 0.000
S1 S 0.500 0.500 0.500
# * mass density: 4678 kg/m³
# * total magnetic moment: 0.0 Bohr magnetons per cell
# * N(E_F): 0.781 states/eV per atom

***

Which structure is most stable? model x, by 507 meV/atom over the runner-up.

***

Model w:
# SbSe2S | Alexandria | PBE | relaxed
data_SbSe2S
_chemical_formula_sum 'Sb4 Se8 S4'
_space_group_name_H-M_alt 'I -4 2 d'
_space_group_IT_number 122
_space_group_name_Hall 'I -4 2bw'
_cell_length_a 7.196
_cell_length_b 7.196
_cell_length_c 8.008
_cell_angle_alpha 90.00
_cell_angle_beta 90.00
_cell_angle_gamma 90.00
loop_
_atom_site_label
_atom_site_type_symbol
_atom_site_fract_x
_atom_site_fract_y
_atom_site_fract_z
Sb1 Sb 0.000 0.000 0.000
Se1 Se 0.236 0.750 0.625
S1 S 0.000 0.000 0.500
# * mass density: 4994 kg/m³
# * total magnetic moment: 0.0 Bohr magnetons per cell
# * N(E_F): 0.824 states/eV per atom

***

Model x:
# SbSe2S | Alexandria | PBE | relaxed
data_SbSe2S
_chemical_formula_sum 'Sb3 Se6 S3'
_space_group_name_H-M_alt 'R -3 m'
_space_group_IT_number 166
_space_group_name_Hall '-R 3 2"'
_cell_length_a 4.1017
_cell_length_b 4.1017
_cell_length_c 24.1240
_cell_angle_alpha 90.00
_cell_angle_beta 90.00
_cell_angle_gamma 120.00
loop_
_atom_site_label
_atom_site_type_symbol
_atom_site_fract_x
_atom_site_fract_y
_atom_site_fract_z
Sb1 Sb 0.0000 0.0000 0.0000
Se1 Se 0.0000 0.0000 0.4028
S1 S 0.0000 0.0000 0.5000
# * mass density: 4418 kg/m³
# * total magnetic moment: 0.0 Bohr magnetons per cell
# * N(E_F): 0.876 states/eV per atom

***

Model y:
# SbSe2S | Alexandria | PBE | relaxed
data_SbSe2S
_chemical_formula_sum 'Sb4 Se8 S4'
_space_group_name_H-M_alt 'F m -3 m'
_space_group_IT_number 225
_space_group_name_Hall '-F 4 2 3'
_cell_length_a 6.966
_cell_length_b 6.966
_cell_length_c 6.966
_cell_angle_alpha 90.00
_cell_angle_beta 90.00
_cell_angle_gamma 90.00
loop_
_atom_site_label
_atom_site_type_symbol
_atom_site_fract_x
_atom_site_fract_y
_atom_site_fract_z
Sb1 Sb 0.000 0.000 0.000
Se1 Se 0.250 0.250 0.250
S1 S 0.000 0.000 0.500
# * mass density: 6127 kg/m³
# * total magnetic moment: 0.0 Bohr magnetons per cell
# * N(E_F): 0.885 states/eV per atom

***

Model z:
# SbSe2S | Alexandria | PBE | relaxed
data_SbSe2S
_chemical_formula_sum 'Sb3 Se6 S3'
_space_group_name_H-M_alt 'R -3 m'
_space_group_IT_number 166
_space_group_name_Hall '-R 3 2"'
_cell_length_a 3.5636
_cell_length_b 3.5636
_cell_length_c 26.9578
_cell_angle_alpha 90.00
_cell_angle_beta 90.00
_cell_angle_gamma 120.00
loop_
_atom_site_label
_atom_site_type_symbol
_atom_site_fract_x
_atom_site_fract_y
_atom_site_fract_z
Sb1 Sb 0.0000 0.0000 0.0000
Se1 Se 0.0000 0.0000 0.1054
S1 S 0.0000 0.0000 0.5000
# * mass density: 5238 kg/m³
# * total magnetic moment: 0.0 Bohr magnetons per cell
# * N(E_F): 0.757 states/eV per atom

***

Which structure is most stable? model x, by 118 meV/atom over the runner-up.

***

Model w:
# SbSe2S2 | Alexandria | PBE | relaxed
data_SbSe2S2
_chemical_formula_sum 'Sb2 Se4 S4'
_space_group_name_H-M_alt 'I 4/m m m'
_space_group_IT_number 139
_space_group_name_Hall '-I 4 2'
_cell_length_a 5.182
_cell_length_b 5.182
_cell_length_c 9.021
_cell_angle_alpha 90.00
_cell_angle_beta 90.00
_cell_angle_gamma 90.00
loop_
_atom_site_label
_atom_site_type_symbol
_atom_site_fract_x
_atom_site_fract_y
_atom_site_fract_z
Sb1 Sb 0.000 0.000 0.000
Se1 Se 0.000 0.000 0.307
S1 S 0.000 0.500 0.250
# * mass density: 4714 kg/m³
# * total magnetic moment: 0.0 Bohr magnetons per cell
# * N(E_F): 0.980 states/eV per atom

***

Model x:
# SbSe2S2 | Alexandria | PBE | relaxed
data_SbSe2S2
_chemical_formula_sum 'Sb2 Se4 S4'
_space_group_name_H-M_alt 'P 4/m b m'
_space_group_IT_number 127
_space_group_name_Hall '-P 4 2ab'
_cell_length_a 8.608
_cell_length_b 8.608
_cell_length_c 3.140
_cell_angle_alpha 90.00
_cell_angle_beta 90.00
_cell_angle_gamma 90.00
loop_
_atom_site_label
_atom_site_type_symbol
_atom_site_fract_x
_atom_site_fract_y
_atom_site_fract_z
Sb1 Sb 0.000 0.000 0.000
Se1 Se 0.247 0.253 0.000
S1 S 0.104 0.604 0.500
# * mass density: 4907 kg/m³
# * total magnetic moment: 0.0 Bohr magnetons per cell
# * N(E_F): 0.379 states/eV per atom

***

Model y:
# SbSe2S2 | Alexandria | PBE | relaxed
data_SbSe2S2
_chemical_formula_sum 'Sb2 Se4 S4'
_space_group_name_H-M_alt 'C 1 2/m 1'
_space_group_IT_number 12
_cell_length_a 6.856
_cell_length_b 3.854
_cell_length_c 10.978
_cell_angle_alpha 90.00
_cell_angle_beta 104.62
_cell_angle_gamma 90.00
loop_
_space_group_symop_operation_xyz
'x,y,z'
'-x,-y,-z'
'-x,y,-z'
'x,-y,z'
'x+1/2,y+1/2,z'
'-x+1/2,-y+1/2,-z'
'-x+1/2,y+1/2,-z'
'x+1/2,-y+1/2,z'
loop_
_atom_site_label
_atom_site_type_symbol
_atom_site_fract_x
_atom_site_fract_y
_atom_site_fract_z
Sb1 Sb 0.000 0.000 0.000
Se1 Se 0.231 0.500 0.158
S1 S 0.138 0.500 0.546
# * mass density: 4067 kg/m³
# * total magnetic moment: 0.0 Bohr magnetons per cell
# * N(E_F): 0.496 states/eV per atom

***

Which structure is most stable? model y, by 330 meV/atom over the runner-up.